The following is a DFT calculation (GGA-PBE) of a relaxed Cr2TcNi crystal.

For the formation energy, the calculation gives 0.17 eV per atom. Its magnetic moment is 0.01 μB/cell.

The structure belongs to space group Pmm2 (No. 25); the cell edges are 2.577, 3.699 and 5.167 Å and the angles 90.00°, 90.00° and 90.00°. Symmetry generates all atoms from Cr at (0.000, 0.000, 0.000), Cr at (0.500, 0.500, 0.235), Tc at (0.500, 0.500, 0.750) and Ni at (0.000, 0.000, 0.483).

The following is a DFT calculation (GGA-PBE) of a relaxed Zn6InAu6 crystal.

For the formation energy, the calculation gives -0.15 eV per atom. Its magnetic moment is 0.00 μB/cell.

The structure belongs to space group P6/mmm (No. 191); the cell edges are 5.2410, 5.2410 and 9.3773 Å and the angles 90.00°, 90.00° and 120.00°. Symmetry generates all atoms from Zn at (0.0000, 0.5000, 0.2484), In at (0.0000, 0.0000, 0.5000), Au at (0.0000, 0.0000, 0.1569), Au at (0.3333, 0.6667, 0.0000) and Au at (0.3333, 0.6667, 0.5000).

The following is a DFT calculation (GGA-PBE) of a relaxed Rb4Ag3SnCl12 crystal.

For the formation energy (no corrections), the calculation gives -1.199 eV/atom. Its magnetic moment is 0.00 μB/cell.

The structure belongs to space group Im-3m (No. 229); the cell edges are 10.516, 10.516 and 10.516 Å and the angles 90.00°, 90.00° and 90.00°. Symmetry generates all atoms from Rb at (0.250, 0.250, 0.250), Ag at (0.000, 0.000, 0.500), Sn at (0.000, 0.000, 0.000), Cl at (0.000, 0.000, 0.235) and Cl at (0.000, 0.250, 0.500).

The following is a DFT calculation (GGA-PBE) of a relaxed Nd5Zn2Sb crystal.

For the formation energy (no corrections), the calculation gives -0.432 eV/atom. Its magnetic moment is 1.96 μB/cell.

The structure belongs to space group I4/mcm (No. 140); the cell edges are 7.909, 7.909 and 14.790 Å and the angles 90.00°, 90.00° and 90.00°. Symmetry generates all atoms from Nd at (0.000, 0.000, 0.000), Nd at (0.160, 0.340, 0.149), Zn at (0.125, 0.375, 0.500) and Sb at (0.000, 0.000, 0.250).

The following is a DFT calculation (GGA-PBE) of a relaxed Ge5As3Au12 crystal.

For the formation energy, the calculation gives 0.18 eV per atom. Its magnetic moment is 0.00 μB/cell.

The structure belongs to space group Ia-3d (No. 230); the cell edges are 15.255, 15.255 and 15.255 Å and the angles 90.00°, 90.00° and 90.00°. Symmetry generates all atoms from Ge at (0.000, 0.000, 0.000), Ge at (0.000, 0.250, 0.375), As at (0.000, 0.250, 0.125) and Au at (0.024, 0.081, 0.650).

The following is a DFT calculation (GGA-PBE) of a relaxed MgCdAu crystal.

For the formation energy, the calculation gives -0.38 eV per atom. As for the energy above the most stable polymorph in this dataset: 0 meV/atom. Its magnetic moment is 0.00 μB/cell.

The structure belongs to space group Cmcm (No. 63); the cell edges are 4.761, 8.305 and 5.881 Å and the angles 90.00°, 90.00° and 90.00°. Symmetry generates all atoms from Mg at (0.000, 0.164, 0.250), Cd at (0.000, 0.500, 0.000) and Au at (0.000, 0.169, 0.750).

The following is a DFT calculation (GGA-PBE) of a relaxed NdThHg4 crystal.

For the formation energy, the calculation gives -0.17 eV per atom. As for the energy above the most stable polymorph in this dataset: 176 meV/atom. Its magnetic moment is 2.97 μB/cell.

The structure belongs to space group F-43m (No. 216); the cell edges are 8.518, 8.518 and 8.518 Å and the angles 90.00°, 90.00° and 90.00°. Symmetry generates all atoms from Nd at (0.000, 0.000, 0.000), Th at (0.250, 0.250, 0.250) and Hg at (0.125, 0.125, 0.625).

The following is a DFT calculation (GGA-PBE) of a relaxed LaInCoCu2 crystal.

For the formation energy, the calculation gives 1.60 eV per atom. Its magnetic moment is 1.95 μB/cell.

The structure belongs to space group P4/mmm (No. 123); the cell edges are 5.171, 5.171 and 6.106 Å and the angles 90.00°, 90.00° and 90.00°. Symmetry generates all atoms from La at (0.000, 0.000, 0.000), In at (0.000, 0.000, 0.500), Co at (0.500, 0.500, 0.500) and Cu at (0.000, 0.500, 0.000).

The following is a DFT calculation (GGA-PBE) of a relaxed Dy2ThBi crystal.

For the formation energy, the calculation gives -0.15 eV per atom. As for the energy above the most stable polymorph in this dataset: 201 meV/atom. Its magnetic moment is 0.00 μB/cell.

The structure belongs to space group R3m (No. 160, hexagonal axes); the cell edges are 3.6177, 3.6177 and 32.8182 Å and the angles 90.00°, 90.00° and 120.00°. Symmetry generates all atoms from Dy at (0.0000, 0.0000, 0.0000), Dy at (0.0000, 0.0000, 0.1748), Th at (0.0000, 0.0000, 0.4205) and Bi at (0.0000, 0.0000, 0.5873).

The following is a DFT calculation (GGA-PBE) of a relaxed K12BaNa7 crystal.

For the formation energy, the calculation gives 0.04 eV per atom. Its magnetic moment is 0.00 μB/cell.

The structure belongs to space group R-3 (No. 148, hexagonal axes); the cell edges are 18.1956, 18.1956 and 12.4492 Å and the angles 90.00°, 90.00° and 120.00°. Symmetry generates all atoms from K at (0.0395, 0.8523, 0.2485), K at (0.0443, 0.7829, 0.5867), Ba at (0.0000, 0.0000, 0.0000), Na at (0.0000, 0.0000, 0.5000) and Na at (0.0736, 0.8281, 0.9276).

The following is a DFT calculation (GGA-PBE) of a relaxed Li3ErTl4 crystal.

For the formation energy, the calculation gives -0.25 eV per atom. Its magnetic moment is 0.00 μB/cell.

The structure belongs to space group R-3m (No. 166, hexagonal axes); the cell edges are 5.0086, 5.0086 and 25.0986 Å and the angles 90.00°, 90.00° and 120.00°. Symmetry generates all atoms from Li at (0.0000, 0.0000, 0.0000), Li at (0.0000, 0.0000, 0.2492), Er at (0.0000, 0.0000, 0.5000), Tl at (0.0000, 0.0000, 0.1184) and Tl at (0.0000, 0.0000, 0.3712).

The following is a DFT calculation (GGA-PBE) of a relaxed Tb2GePt crystal.

For the formation energy, the calculation gives -0.94 eV per atom. Its magnetic moment is 0.00 μB/cell.

The structure belongs to space group P4/mmm (No. 123); the cell edges are 3.501, 3.501 and 7.299 Å and the angles 90.00°, 90.00° and 90.00°. Symmetry generates all atoms from Tb at (0.000, 0.000, 0.242), Ge at (0.500, 0.500, 0.500) and Pt at (0.500, 0.500, 0.000).